[1]
# Ca2Ac6Pr3

An optimized crystal structure of Ca2Ac6Pr3 (PBE, the Alexandria database).

Results
The space group is No. 166. The energy of formation is 0.08 eV per atom. As for the size of the total moment: 0.00 μB per formula unit.

Cell: 6.1900 6.1900 14.2864 Å, 77.49 77.49 60.00°
Positions (direct):
Ca  0.4580  0.4580  0.6261
Ac  0.8125  0.8125  0.5626
Ac  0.0907  0.0907  0.7279
Ca  0.5420  0.5420  0.3739
Ac  0.9093  0.9093  0.2721
Ac  0.1875  0.1875  0.4374
Pr  0.2802  0.2802  0.1593
Pr  0.7198  0.7198  0.8407
Pr  0.0000  0.0000  0.0000
Ac  0.6301  0.6301  0.1097
Ac  0.3699  0.3699  0.8903

=====

[2]
# CaAcPr2

An optimized crystal structure of CaAcPr2 (PBE, the Alexandria database).

Results
The space group is No. 166. The energy of formation is 0.14 eV per atom. As for the size of the total moment: 0.00 μB per formula unit.

Cell: 3.7409 3.7409 13.4418 Å, 82.00 82.00 60.00°
Positions (direct):
Pr  0.9105  0.9105  0.2684
Ac  0.5000  0.5000  0.5000
Ca  0.0000  0.0000  0.0000
Pr  0.0895  0.0895  0.7316

=====

V across the listed records, respectively: 458.98; 160.79 Å³/cell.
VASP energy across the listed records, respectively: -42.15; -15.11 eV per cell.